Compound: TbLuMnTl
Source: Alexandria
Functional: PBE-GGA
Structure: optimized geometry

Cell: 5.1757 5.1757 5.1757 Å, 60.00 60.00 60.00°
Sites, in units of the cell vectors:
Tb1 0.0000 0.0000 0.0000
Lu1 0.5000 0.5000 0.5000
Mn1 0.2500 0.2500 0.2500
Tl1 0.7500 0.7500 0.7500

Output
Energy of formation (eV per atom): -0.009
Volume (Å³/atom): 24.51
Raw total energy (eV per atom): -5.181